# La5Tb2Th2

A relaxed structure of La5Tb2Th2 (PBE, the Alexandria database).

extended XYZ file:
```
9
Lattice="-3.8376 -4.7438 -1.4709 5.9213 -2.1840 -7.1120 0.8991 1.3958 9.2070" Properties=species:S:1:pos:R:3 pbc="T T T"
La 3.1414 -3.6680 -5.4920
La -0.1586 -1.8639 6.1161
La 0.9559 -1.8054 2.8663
La 2.0269 -3.7265 -2.2423
La 0.0000 0.0000 0.0000
Tb 3.4838 -1.6843 0.0759
Tb -0.5010 -3.8476 0.5482
Th -1.7070 -4.0284 3.9056
Th 4.6898 -1.5035 -3.2815
```

Properties
- magnetization (μB per formula unit) = 0.00
- raw total energy (eV/atom) = -5.278
- formation energy from the elements (eV/atom) = 0.137

# TmSc2Al

A relaxed structure of TmSc2Al (PBE, the Alexandria database).

extended XYZ file:
```
4
Lattice="-2.7985 -1.9373 -0.8523 3.0078 -4.0094 -0.7626 -0.6862 1.5761 5.8929" Properties=species:S:1:pos:R:3 pbc="T T T"
Tm 1.5039 -2.0047 -0.3813
Sc -0.2208 -3.7566 2.0415
Sc -0.2561 -0.6139 2.2366
Al -1.3992 -0.9686 -0.4261
```

Properties
- magnetization (μB per formula unit) = 0.00
- raw total energy (eV/atom) = -5.451
- energy above the most stable polymorph in this dataset (meV per atom) = 0
- formation energy from the elements (eV/atom) = -0.231

# Tb4Al16Ir3

A relaxed structure of Tb4Al16Ir3 (PBE, the Alexandria database).

extended XYZ file:
```
23
Lattice="-0.1958 1.6212 5.9283 -2.1236 -5.5838 1.4569 10.5846 -3.6722 1.3538" Properties=species:S:1:pos:R:3 pbc="T T T"
Tb 8.4527 -2.1559 4.0577
Tb 0.9722 -3.4976 0.9886
Tb 7.4888 -5.7584 1.8220
Tb 1.9361 0.1049 3.2243
Al 8.2464 -2.8610 1.0547
Al -0.6588 -1.1256 2.0977
Al 7.3744 -4.9421 4.7841
Al -0.7434 -0.4254 4.6582
Al 0.8908 -2.6927 3.9548
Al -1.6605 -2.8371 5.2874
Al 2.3382 -0.8112 0.2991
Al 4.8033 -5.2475 6.3846
Al 3.3636 -1.5730 5.3322
Al 5.9684 -3.2569 2.6749
Al 2.3952 -5.1922 3.0861
Al -1.5760 -3.5373 2.7269
Al 2.2969 -4.3779 6.0640
Al 5.8700 -2.4426 5.6528
Al 3.4619 -2.3874 2.3543
Al 4.9017 -6.0618 3.4067
Ir 4.2305 -4.6280 1.4053
Ir 0.0000 0.0000 0.0000
Ir 5.1944 -1.0255 3.6410
```

Properties
- magnetization (μB per formula unit) = 0.00
- raw total energy (eV/atom) = -5.217
- formation energy from the elements (eV/atom) = -0.652

# ScSb2O2

A relaxed structure of ScSb2O2 (PBE, the Alexandria database).

extended XYZ file:
```
5
Lattice="3.8909 0.0000 0.0000 0.0000 3.8909 0.0000 1.9455 1.9455 6.1160" Properties=species:S:1:pos:R:3 pbc="T T T"
Sc 0.0000 0.0000 0.0000
Sb 3.8909 1.9455 3.0580
Sb 1.9455 3.8909 3.0580
O 1.9455 1.9455 1.2085
O 3.8909 3.8909 4.9075
```

Properties
- magnetization (μB per formula unit) = 0.00
- energy relative to the elements, uncorrected (eV/atom) = -0.07
- raw total energy (eV/atom) = -4.970
- energy above the most stable polymorph in this dataset (meV per atom) = 1283

# NaEr2PuSe4

A relaxed structure of NaEr2PuSe4 (PBE, the Alexandria database).

extended XYZ file:
```
8
Lattice="4.0813 0.0000 0.0000 0.0000 7.1859 -0.1719 0.0000 2.4957 6.6573" Properties=species:S:1:pos:R:3 pbc="T T T"
Na 0.0000 4.8408 3.2427
Er 0.0000 2.4957 6.6573
Er 2.0407 1.2479 3.3286
Pu 2.0407 6.0887 6.5713
Se 0.0000 7.3168 4.8374
Se 4.0813 2.3648 1.6479
Se 2.0407 6.0958 1.5098
Se 2.0407 3.5858 4.9755
```

Properties
- magnetization (μB per formula unit) = 5.99
- energy relative to the elements, uncorrected (eV/atom) = -1.65
- raw total energy (eV/atom) = -6.488

# AcZr2GeO8

A relaxed structure of AcZr2GeO8 (PBE, the Alexandria database).

extended XYZ file:
```
12
Lattice="4.9046 0.0820 -0.0038 0.1353 4.9036 -0.0059 0.0038 0.0069 6.9001" Properties=species:S:1:pos:R:3 pbc="T T T"
Ac 0.0019 0.0034 3.4501
Zr 2.5232 2.4983 5.3168
Zr 2.5206 2.4941 1.5736
Ge 0.0000 0.0000 0.0000
O 1.0656 3.9647 1.3481
O 3.5561 3.5190 -0.0065
O 3.9768 1.0245 1.3494
O 3.9782 1.0278 5.5423
O 1.4877 1.4735 6.8969
O 1.0670 3.9680 5.5410
O 3.3486 3.3165 3.4441
O 1.6952 1.6760 3.4464
```

Properties
- magnetization (μB per formula unit) = 0.94
- energy relative to the elements, uncorrected (eV/atom) = -2.59
- raw total energy (eV/atom) = -8.052

# DyThRu

A relaxed structure of DyThRu (PBE, the Alexandria database).

extended XYZ file:
```
6
Lattice="4.4583 1.1557 -0.4312 0.6876 4.5541 -0.4312 -2.2776 -2.5272 8.8284" Properties=species:S:1:pos:R:3 pbc="T T T"
Dy -0.3280 -0.3639 6.7577
Dy 0.8108 0.8997 2.3435
Th 3.9675 4.4026 -0.3080
Th 2.8291 3.1387 4.1062
Ru 2.4438 2.7116 0.9498
Ru 1.3050 1.4480 5.3640
```

Properties
- magnetization (μB per formula unit) = 0.00
- raw total energy (eV/atom) = -7.357
- energy above the most stable polymorph in this dataset (meV per atom) = 78
- formation energy from the elements (eV/atom) = -0.258

# Ba12MgIn6

A relaxed structure of Ba12MgIn6 (PBE, the Alexandria database).

extended XYZ file:
```
19
Lattice="-2.9767 -3.5546 9.2739 -7.1973 -4.1966 -6.1716 8.1505 -6.0971 -1.9737" Properties=species:S:1:pos:R:3 pbc="T T T"
Ba -3.0740 -7.9494 3.2872
Ba -2.5652 -8.4747 -2.2465
Ba 1.9436 -8.8673 1.0205
Ba 1.0505 -5.8990 -2.1586
Ba 0.5417 -5.3737 3.3751
Ba -3.9671 -4.9811 0.1081
Ba -4.1285 -6.0734 -5.8365
Ba 2.6424 -8.8526 -5.2954
Ba -8.1737 -6.8210 0.2413
Ba 2.1050 -7.7749 6.9651
Ba -4.6659 -4.9957 6.4240
Ba 6.1502 -7.0274 0.8873
Mg 0.0000 0.0000 0.0000
In -5.0968 -8.5002 0.4239
In -2.8231 -4.2564 3.5296
In -2.3638 -4.8602 -3.0555
In 3.0733 -5.3482 0.7047
In 0.7996 -9.5920 -2.4010
In 0.3403 -8.9882 4.1841
```

Properties
- magnetization (μB per formula unit) = 0.01
- raw total energy (eV/atom) = -2.249
- formation energy from the elements (eV/atom) = -0.085